18
Lattice="9.5629 -4.2918 5.0660 0.3801 6.6319 0.5165 1.9925 -4.2918 10.6369" Properties=species:S:1:pos:R:3 comment="PBE-GGA La6Pr2Pb, relaxed" final_energy_ev_per_atom=-4.856 space_group=C2/c crystal_system=monoclinic m_tot_mub_per_fu=0.00 dos_at_fermi_per_ev_atom=1.30 ef_ev_per_fu=-0.873 pbc="T T T"
La 4.5570 0.1159 7.3298
La 6.4828 1.2484 9.9468
La 7.3785 -2.0675 8.8896
La 5.4527 -3.2001 6.2725
La 1.9825 -2.3083 6.6624
La 5.9742 -2.9592 12.0868
La 9.9531 0.3567 9.5570
La 5.9613 1.0076 4.1325
La 1.7128 4.1134 1.1834
La 11.5051 -2.7491 14.4903
La 10.2227 -6.0651 15.0360
La 0.4304 0.7974 1.7291
Pr 2.5428 1.8110 4.6583
Pr 8.4343 -0.4467 12.6645
Pr 9.3928 -3.7626 11.5610
Pr 3.5012 -1.5050 3.5549
Pb 7.9579 0.6821 6.8442
Pb 3.9777 -2.6338 9.3751